# DyHo3Er4S8 | Alexandria via LeMat-Bulk | PBE-GGA | optimized geometry
# Calculated volume in A^3/atom: 20.61
# DOS(E_F) in states/eV/f.u.: 8.9
# E_form (uncorrected) in eV per atom: -1.962
data_DyHo3Er4S8
_chemical_formula_sum 'Dy3 Ho9 Er12 S24'
_cell_length_a 7.7529
_cell_length_b 7.7529
_cell_length_c 19.0006
_cell_angle_alpha 90.00
_cell_angle_beta 90.00
_cell_angle_gamma 120.00
_space_group_name_H-M_alt 'R -3 m'
_space_group_IT_number 166
_space_group_name_Hall '-R 3 2"'
loop_
_atom_site_label
_atom_site_fract_x
_atom_site_fract_y
_atom_site_fract_z
_atom_site_occupancy
Dy1 0.0000 0.0000 0.0000 1
Ho1 0.0000 0.5000 0.0000 1
Er1 0.0000 0.0000 0.5000 1
Er2 0.0000 0.5000 0.5000 1
S1 0.0000 0.0000 0.2493 1
S2 0.0010 0.5005 0.2490 1